Material: YZnPb2
Method: DFT, GGA-PBE
State: optimized geometry

Values from the calculation:
Its energy is -60.86 eV/cell. The calculation puts the energy of formation at -0.015 eV/atom. Its spin magnetization is 0.00 μB/f.u. The value obtained for the density of states at the Fermi level is 4.4 states/eV/f.u.

CIF file:
```
data_YZnPb2
_chemical_formula_sum 'Y4 Zn4 Pb8'
_cell_length_a 4.579
_cell_length_b 4.579
_cell_length_c 21.828
_cell_angle_alpha 90.00
_cell_angle_beta 90.00
_cell_angle_gamma 90.00
_space_group_name_H-M_alt 'I -4 2 d'
_space_group_IT_number 122
_space_group_name_Hall 'I -4 2bw'
loop_
_atom_site_label
_atom_site_fract_x
_atom_site_fract_y
_atom_site_fract_z
Y1 0.000 0.000 0.000
Zn1 0.000 0.000 0.500
Pb1 0.243 0.250 0.625
```